--- A ---
Material: Li2TcIr
Method: DFT, PBE
State: optimized geometry

Calculated values
symmetry	I4/mmm, No. 139

POSCAR file:
```
Li2TcIr
1.0
-1.789 1.789 4.433
1.789 -1.789 4.433
1.789 1.789 -4.433
Li Tc Ir
2 1 1
direct
0.250 0.750 0.500 Li
0.750 0.250 0.500 Li
0.000 0.000 0.000 Tc
0.500 0.500 0.000 Ir
```

***

--- B ---
Material: Li2TcIr
Method: DFT, PBE
State: optimized geometry

Calculated values
symmetry	Imm2, No. 44

POSCAR file:
```
Li2TcIr
1.0
-1.466 2.154 3.988
1.466 -2.154 3.988
1.466 2.154 -3.988
Li Tc Ir
2 1 1
direct
0.000 0.000 0.000 Li
0.783 0.283 0.500 Li
0.260 0.760 0.500 Tc
0.526 0.526 0.000 Ir
```

***

Of them, B has the highest stability.

***

--- A ---
Material: LiTc2Ir
Method: DFT, PBE
State: optimized geometry

Calculated values
symmetry	Imm2, No. 44

POSCAR file:
```
LiTc2Ir
1.0
-1.436 2.235 4.290
1.436 -2.235 4.290
1.436 2.235 -4.290
Li Tc Ir
1 2 1
direct
0.000 0.000 0.000 Li
0.250 0.750 0.500 Tc
0.497 0.497 0.000 Tc
0.758 0.258 0.500 Ir
```

***

--- B ---
Material: LiTc2Ir
Method: DFT, PBE
State: optimized geometry

Calculated values
symmetry	Cmm2, No. 35

POSCAR file:
```
LiTc2Ir
1.0
1.408 -2.268 0.000
1.408 2.268 0.000
0.000 0.000 9.137
Li Tc Ir
1 2 1
direct
0.000 0.000 0.000 Li
0.000 0.000 0.503 Tc
0.500 0.500 0.262 Tc
0.500 0.500 0.757 Ir
```

***

Of them, A has the highest stability.

***

--- A ---
Material: Li2TcIr2
Method: DFT, PBE
State: optimized geometry

Calculated values
symmetry	P4/mbm, No. 127

POSCAR file:
```
Li2TcIr2
1.0
6.806 0.000 0.000
0.000 6.806 0.000
0.000 0.000 2.868
Li Tc Ir
4 2 4
direct
0.158 0.342 0.000 Li
0.342 0.842 0.000 Li
0.658 0.158 0.000 Li
0.842 0.658 0.000 Li
0.000 0.000 0.500 Tc
0.500 0.500 0.500 Tc
0.141 0.641 0.500 Ir
0.359 0.141 0.500 Ir
0.641 0.859 0.500 Ir
0.859 0.359 0.500 Ir
```

***

--- B ---
Material: Li2TcIr2
Method: DFT, PBE
State: optimized geometry

Calculated values
symmetry	I4/mmm, No. 139

POSCAR file:
```
Li2TcIr2
1.0
-1.451 1.451 7.793
1.451 -1.451 7.793
1.451 1.451 -7.793
Li Tc Ir
2 1 2
direct
0.250 0.750 0.500 Li
0.750 0.250 0.500 Li
0.000 0.000 0.000 Tc
0.390 0.390 0.000 Ir
0.610 0.610 0.000 Ir
```

***

--- C ---
Material: Li2TcIr2
Method: DFT, PBE
State: optimized geometry

Calculated values
symmetry	P4/mbm, No. 127

POSCAR file:
```
Li2TcIr2
1.0
6.708 0.000 0.000
0.000 6.708 0.000
0.000 0.000 2.793
Li Tc Ir
4 2 4
direct
0.107 0.393 0.000 Li
0.393 0.893 0.000 Li
0.607 0.107 0.000 Li
0.893 0.607 0.000 Li
0.000 0.000 0.000 Tc
0.500 0.500 0.000 Tc
0.194 0.694 0.500 Ir
0.306 0.194 0.500 Ir
0.694 0.806 0.500 Ir
0.806 0.306 0.500 Ir
```

***

--- D ---
Material: Li2TcIr2
Method: DFT, PBE
State: optimized geometry

Calculated values
symmetry	P4/mmm, No. 123

POSCAR file:
```
Li2TcIr2
1.0
4.666 0.000 0.000
0.000 4.666 0.000
0.000 0.000 4.820
Li Tc Ir
2 1 2
direct
0.000 0.000 0.000 Li
0.500 0.500 0.000 Li
0.000 0.000 0.500 Tc
0.000 0.500 0.500 Ir
0.500 0.000 0.500 Ir
```

***

Of them, C has the highest stability.